No. 1
DFT (PBE) results for an optimized crystal structure of Ag2SeBr.

Unit cell a=3.8553 b=3.8553 c=21.6146 alpha=90.00 beta=90.00 gamma=120.00
With the nearest neighbours (Å) after each atom.
Space group R3m (No. 160, hexagonal axes)
One atom of each set of equivalent atoms:
Ag: 0.0000 0.0000 0.0000 x3  3 Se 2.74, 3 Br 2.93
Ag: 0.0000 0.0000 0.1841 x3  3 Se 2.76, 3 Br 3.05
Se: 0.0000 0.0000 0.5930 x3  6 Ag 2.74-2.76
Br: 0.0000 0.0000 0.4211 x3  6 Ag 2.93-3.05

Calculated values
For the magnetization, the calculation gives 0.00 μB/f.u. The calculation puts the formation energy without anion corrections at -0.0751 eV/atom. For the energy above the most stable polymorph in this dataset, the calculation gives 67.8 meV per atom. For the total energy, the calculation gives -0.103 Ha/atom.

No. 2
DFT (PBE) results for an optimized crystal structure of Ag2SeBr.

Unit cell a=8.0941 b=3.6712 c=6.7904 alpha=90.00 beta=90.59 gamma=90.00
With the nearest neighbours (Å) after each atom.
Space group Cm (No. 8)
One atom of each set of equivalent atoms:
Ag: 0.0000 0.0000 0.0000 x2  3 Se 2.65-2.69, 2 Br 2.94
Ag: 0.1413 0.0000 0.5621 x2  2 Se 2.67, 2 Br 2.82
Se: 0.1999 0.5000 0.8392 x2  5 Ag 2.65-2.69
Br: 0.4564 0.0000 0.3339 x2  5 Ag 2.82-3.00

Calculated values
For the magnetization, the calculation gives 0.00 μB/f.u. The calculation puts the formation energy without anion corrections at -0.0994 eV/atom. For the energy above the most stable polymorph in this dataset, the calculation gives 43.5 meV per atom. For the total energy, the calculation gives -0.103 Ha/atom.

No. 3
DFT (PBE) results for an optimized crystal structure of AgSe2Br.

Unit cell a=4.0940 b=4.0940 c=23.2760 alpha=90.00 beta=90.00 gamma=120.00
With the nearest neighbours (Å) after each atom.
Space group R-3m (No. 166, hexagonal axes)
One atom of each set of equivalent atoms:
Ag: 0.0000 0.0000 0.0000 x3  6 Se 2.69
Se: 0.0000 0.0000 0.3884 x6  1 Br 2.60, 3 Ag 2.69
Br: 0.0000 0.0000 0.5000 x3  2 Se 2.60

Calculated values
For the magnetization, the calculation gives 0.00 μB/f.u. The calculation puts the formation energy without anion corrections at 0.0660 eV/atom. For the energy above the most stable polymorph in this dataset, the calculation gives 191.3 meV per atom. For the total energy, the calculation gives -0.103 Ha/atom.

No. 4
DFT (PBE) results for an optimized crystal structure of Ag2SeBr.

Unit cell a=8.8694 b=10.4760 c=4.1037 alpha=90.00 beta=90.00 gamma=90.00
With the nearest neighbours (Å) after each atom.
Space group Cmmm (No. 65)
One atom of each set of equivalent atoms:
Ag: 0.0000 0.0000 0.0000 x2  2 Se 2.83, 4 Br 2.87
Ag: 0.0000 0.5000 0.5000 x2  4 Se 2.61
Ag: 0.2500 0.2500 0.0000 x4  2 Se 2.69
Se: 0.1811 0.5000 0.0000 x4  5 Ag 2.61-2.83
Br: 0.0000 0.1914 0.5000 x4  6 Ag 2.87-3.08

Calculated values
For the magnetization, the calculation gives 0.00 μB/f.u. The calculation puts the formation energy without anion corrections at -0.1429 eV/atom. For the energy above the most stable polymorph in this dataset, the calculation gives 0.0 meV per atom. For the total energy, the calculation gives -0.105 Ha/atom.

No. 5
DFT (PBE) results for an optimized crystal structure of Ag2SeBr8.

Unit cell a=6.9331 b=7.0881 c=8.3630 alpha=90.76 beta=93.81 gamma=103.15
With the nearest neighbours (Å) after each atom.
Space group P-1 (No. 2)
One atom of each set of equivalent atoms:
Ag: 0.0576 0.2583 0.1214 x2  5 Br 2.71-2.97
Se: 0.5000 0.0000 0.0000 x1  6 Br 2.60-2.73
Br: 0.0809 0.5544 0.3808 x2  1 Br 2.40
Br: 0.2164 0.0903 0.8182 x2  1 Se 2.61, 1 Ag 2.83
Br: 0.2574 0.6502 0.0569 x2  1 Se 2.73, 2 Ag 2.77-2.88
Br: 0.3874 0.1574 0.2497 x2  1 Se 2.60, 1 Ag 2.71

Calculated values
For the magnetization, the calculation gives 0.00 μB/f.u. The calculation puts the formation energy without anion corrections at -0.1581 eV/atom. For the total energy, the calculation gives -0.081 Ha/atom.

No. 6
DFT (PBE) results for an optimized crystal structure of Ag4Se2Br.

Unit cell a=3.9159 b=14.1002 c=12.0459 alpha=90.00 beta=90.02 gamma=90.00
With the nearest neighbours (Å) after each atom.
Space group P2_1/c (No. 14)
One atom of each set of equivalent atoms:
Ag: 0.0492 0.2500 0.4989 x4  4 Se 2.70-2.72
Ag: 0.0596 0.1461 0.2494 x4  4 Se 2.69-2.72
Ag: 0.2959 0.0443 0.9205 x4  1 Br 2.67, 2 Se 2.72-2.74, 1 Ag 2.79
Ag: 0.2978 0.0452 0.5793 x4  1 Br 2.67, 2 Se 2.72-2.74, 1 Ag 2.79
Se: 0.4465 0.6450 0.4055 x4  6 Ag 2.69-2.74
Se: 0.4466 0.6443 0.0958 x4  6 Ag 2.69-2.74
Br: 0.0655 0.6110 0.7502 x4  2 Ag 2.67

Calculated values
For the magnetization, the calculation gives 0.00 μB/f.u. The calculation puts the formation energy without anion corrections at -0.1022 eV/atom. For the energy above the most stable polymorph in this dataset, the calculation gives 0.0 meV per atom. For the total energy, the calculation gives -0.109 Ha/atom.